# 1
Compound: SrLiW2O8
Source: the Alexandria database
Functional: PBE+U
Structure: relaxed

POSCAR file:
```
SrLiW2O8
1.0
-3.795 -0.996 -5.082
6.238 -0.921 -1.210
-1.716 -4.215 4.529
O Sr Li W
8 1 1 2
Direct
0.845 0.654 0.191 O
0.402 0.094 0.308 O
0.463 0.654 0.809 O
0.346 0.537 0.191 O
0.906 0.214 0.308 O
0.906 0.598 0.692 O
0.786 0.094 0.692 O
0.346 0.155 0.809 O
0.250 0.750 0.500 Sr
0.000 0.000 0.000 Li
0.500 0.500 0.000 W
0.750 0.250 0.500 W
```

Calculated values
- SG: I-4m2 (119)
- Energy: -81.25 eV for the cell shown
- Total magnetic moment: 1.12 Bohr magnetons per cell
- Calculated volume: 202.9 Å³/cell
- Calculated density: 4.83 g/cm3

---

# 2
Compound: Sr2Li2WO6
Source: the Alexandria database
Functional: PBE+U
Structure: relaxed

POSCAR file:
```
Sr2Li2WO6
1.0
-2.992 -1.468 -4.235
-1.699 -1.070 5.001
-2.620 4.891 0.156
W O Li Sr
1 6 2 2
Direct
0.000 0.000 0.000 W
0.303 0.000 0.799 O
0.303 0.303 0.201 O
0.697 0.000 0.201 O
0.000 0.303 0.799 O
0.697 0.697 0.799 O
0.000 0.697 0.201 O
0.333 0.667 0.999 Li
0.667 0.333 0.001 Li
0.667 0.333 0.501 Sr
0.333 0.667 0.499 Sr
```

Calculated values
- SG: P-31m (162)
- Energy: -69.32 eV for the cell shown
- Total magnetic moment: 0.00 Bohr magnetons per cell
- Calculated volume: 139.6 Å³/cell
- Calculated density: 5.58 g/cm3